Ac2Pm7Tm2, optimized geometry, DFT PBE-GGA; N(E_F) = 12.485 states/eV/cell; ΔE_f = 0.203 eV per atom; magnetization = 0.000 μB per cell; E_tot = -4.38 eV/atom; space-group type = C2/m, No. 12
1.0
-3.229 2.734 -8.743
-1.195 -6.731 4.830
-5.721 -1.966 7.598
Pm Tm Ac
7 2 2
direct
0.917 0.276 0.467
0.543 0.279 0.457
0.533 0.276 0.083
0.457 0.721 0.543
0.000 0.000 0.000
0.467 0.724 0.917
0.083 0.724 0.533
0.214 0.500 0.214
0.786 0.500 0.786
0.253 0.068 0.747
0.747 0.932 0.253



Ac4Pm2Tm, optimized geometry, DFT PBE-GGA; N(E_F) = 23.928 states/eV/cell; ΔE_f = 0.251 eV per atom; magnetization = 0.016 μB per cell; E_tot = -4.09 eV/atom; space-group type = C2/c, No. 15
1.0
-6.819 -1.620 -2.269
5.844 -0.841 -4.405
1.455 -11.424 4.452
Ac Pm Tm
8 4 2
direct
0.781 0.724 0.000
0.794 0.295 0.402
0.206 0.705 0.598
0.276 0.219 0.500
0.219 0.276 0.000
0.705 0.206 0.098
0.295 0.794 0.902
0.724 0.781 0.500
0.246 0.754 0.250
0.490 0.510 0.750
0.754 0.246 0.750
0.510 0.490 0.250
0.015 0.985 0.750
0.985 0.015 0.250



> The lowest magnetization belongs to which entry?

Ac2Pm7Tm2